# 1
First-principles (GGA-PBE) data for a geometry-optimized TlTcP structure, as listed in Alexandria.

Output
Its formation energy is 0.058 eV/atom. The total energy comes out at -5.99 eV per atom. The calculation puts the relative energy among the computed polymorphs at 13 meV/atom.

```
TlTcP
1.0
-1.582 1.582 5.369
1.582 -1.582 5.369
1.582 1.582 -5.369
Tl P Tc
1 1 1
Direct
0.333 0.333 0.000
0.040 0.040 0.000
0.627 0.627 0.000
```

# 2
First-principles (GGA-PBE) data for a geometry-optimized Ba2ZnIn6Sn structure, as listed in Alexandria.

Output
Its formation energy is -0.197 eV/atom. The total energy comes out at -2.75 eV per atom.

```
Ba2ZnIn6Sn
1.0
7.311 0.000 0.000
3.656 6.332 0.000
3.656 2.111 13.785
In Sn Ba Zn
12 2 4 2
Direct
0.333 0.920 0.414
0.920 0.333 0.414
0.221 0.221 0.912
0.667 0.080 0.586
0.333 0.333 0.414
0.221 0.646 0.912
0.080 0.667 0.586
0.646 0.221 0.912
0.779 0.779 0.088
0.354 0.779 0.088
0.667 0.667 0.586
0.779 0.354 0.088
0.425 0.425 0.724
0.575 0.575 0.276
0.723 0.723 0.831
0.893 0.893 0.321
0.277 0.277 0.169
0.107 0.107 0.679
0.500 0.500 0.500
0.000 0.000 0.000
```

# 3
First-principles (GGA-PBE) data for a geometry-optimized NdZnC structure, as listed in Alexandria.

Output
Its formation energy is -0.227 eV/atom. The total energy comes out at -5.32 eV per atom. The calculation puts the relative energy among the computed polymorphs at 0 meV/atom.

```
NdZnC
1.0
-2.707 2.042 1.914
-0.404 -4.312 0.068
5.213 1.393 5.888
Nd C Zn
2 2 2
Direct
0.907 0.814 0.191
0.093 0.186 0.809
0.415 0.829 0.959
0.585 0.171 0.041
0.343 0.687 0.502
0.657 0.313 0.498
```

# 4
First-principles (GGA-PBE) data for a geometry-optimized Ba4Ce3SiN8 structure, as listed in Alexandria.

Output
The value obtained for the formation energy without anion corrections is -11.00 eV per formula unit. The total energy comes out at -6.78 eV per atom.

```
Ba4Ce3SiN8
1.0
6.920 0.000 0.000
0.000 7.451 0.145
-3.460 -3.616 5.645
Ce Ba N Si
3 4 8 1
Direct
0.000 0.500 0.500
0.500 0.500 0.000
0.500 0.500 0.500
0.500 0.000 0.500
0.000 0.000 0.000
0.000 0.000 0.500
0.500 0.000 0.000
0.726 0.687 0.451
0.274 0.313 0.549
0.721 0.271 0.443
0.805 0.333 0.025
0.780 0.667 0.975
0.279 0.729 0.557
0.195 0.667 0.975
0.220 0.333 0.025
0.000 0.500 0.000
```

# 5
First-principles (GGA-PBE) data for a geometry-optimized Dy2AlTe structure, as listed in Alexandria.

Output
The value obtained for the formation energy without anion corrections is -2.88 eV per formula unit. The total energy comes out at -4.74 eV per atom. The calculation puts the relative energy among the computed polymorphs at 178 meV/atom.

```
Dy2AlTe
1.0
-3.060 -2.358 -0.929
0.315 -3.935 0.454
-3.738 -1.443 7.478
Al Dy Te
1 2 1
Direct
0.667 0.667 0.998
0.081 0.081 0.757
0.252 0.252 0.243
0.499 0.499 0.502
```

no.,DOS at the Fermi energy (states/eV per atom),V (A^3/atom)
1,0.7127,17.92
2,0.4482,31.91
3,0.6202,19.42
4,0.1106,18.42
5,0.6348,27.92